A plane-wave DFT calculation with PBEsol was carried out for crystalline PWCl9 at its relaxed geometry.

a = 6.3878 Å, b = 9.5606 Å, c = 11.0645 Å
α = 107.57°, β = 105.25°, γ = 90.26°
With the nearest neighbours (Å) after each atom.
Space group P-1 (No. 2)
Unique sites:
P: 0.1041 0.2012 0.3252 x2  3 Cl 2.05-2.06
W: 0.4216 0.2357 0.7913 x2  6 Cl 2.28-2.30
Cl: 0.0818 0.1166 0.6766 x2  1 W 2.30
Cl: 0.0852 0.8552 0.8673 x2  1 P 2.06
Cl: 0.1166 0.7023 0.5772 x2  1 P 2.05
Cl: 0.2401 0.6446 0.0988 x2  1 W 2.28
Cl: 0.2854 0.3855 0.3355 x2  1 P 2.06
Cl: 0.2881 0.4532 0.7788 x2  1 W 2.28
Cl: 0.3388 0.2701 0.9859 x2  1 W 2.28
Cl: 0.4490 0.9843 0.1961 x2  1 W 2.29
Cl: 0.4946 0.8037 0.4052 x2  1 W 2.30

* total DFT energy (no corrections): -46.1 eV per formula unit